(1)
DFT (GGA-PBE) results for a relaxed Mo2OsBr crystal.

Lattice parameters (Å, degrees): 2.856 2.856 9.248 90.00 90.00 113.72
Atoms (fractional coordinates):
Mo  0.000  0.000  0.015
Mo  0.500  0.500  0.247
Os  0.000  0.000  0.468
Br  0.500  0.500  0.769

Values from the calculation:
excess energy over the best structure of this formula in the dataset: 284 meV/atom
density of states at the Fermi level: 4.6 states/eV/cell
space group: No. 35
electronic total energy: -7.883 eV per atom


(2)
DFT (GGA-PBE) results for a relaxed KSiAu3 crystal.

Lattice parameters (Å, degrees): 17.897 8.583 8.583 147.97 153.61 26.39
Atoms (fractional coordinates):
K  0.756  0.167  0.833
K  0.244  0.833  0.167
Au  0.726  0.406  0.594
Au  0.274  0.594  0.406
Au  0.921  0.369  0.631
Au  0.079  0.631  0.369
Au  0.472  0.820  0.180
Au  0.528  0.180  0.820
Si  0.820  0.789  0.211
Si  0.180  0.211  0.789

Values from the calculation:
density of states at the Fermi level: 2.9 states/eV/cell
space group: No. 12
electronic total energy: -3.422 eV per atom